{"formula": "SiTeAs", "functional": "PBE-GGA", "state": "optimized geometry", "spacegroup": "P3m1, No. 156", "energy_ev_per_atom": -4.21, "magmom_total_mub_per_fu": 0.000, "e_above_lowest_polymorph_ev_per_fu": 0.145, "lattice": [[3.536, 0.000, 0.000], [-1.768, 3.062, 0.000], [0.000, 0.000, 7.053]], "species": ["Si", "Te", "As"], "frac_coords": [[0.000, 0.000, 0.000], [0.667, 0.333, 0.294], [0.333, 0.667, 0.817]]}


{"formula": "Si2TeAs", "functional": "PBE-GGA", "state": "optimized geometry", "spacegroup": "I-42d, No. 122", "energy_ev_per_atom": -4.29, "magmom_total_mub_per_fu": 0.000, "e_above_lowest_polymorph_ev_per_fu": 1.011, "lattice": [[-3.370, 3.370, 4.299], [3.370, -3.370, 4.299], [3.370, 3.370, -4.299]], "species": ["Si", "Si", "Si", "Si", "Te", "Te", "As", "As"], "frac_coords": [[0.091, 0.625, 0.966], [0.375, 0.341, 0.466], [0.659, 0.125, 0.034], [0.875, 0.909, 0.534], [0.250, 0.750, 0.500], [0.500, 0.500, 0.000], [0.000, 0.000, 0.000], [0.750, 0.250, 0.500]]}